# 1
## Pr4NdHo2 (PBE)

Data for a geometry-optimized Pr4NdHo2 structure.

a = 12.7055 Å, b = 12.7055 Å, c = 6.9013 Å
α = 96.99°, β = 96.99°, γ = 150.23°
Fractional positions:
Pr  0.5584  0.5954  0.1286
Pr  0.0335  0.1407  0.5974
Pr  0.1807  0.7180  0.3729
Pr  0.5954  0.5584  0.6286
Pr  0.1407  0.0335  0.0974
Pr  0.7930  0.1860  0.4031
Pr  0.1860  0.7930  0.9031
Pr  0.7180  0.1807  0.8729
Ho  0.3069  0.6238  0.9497
Ho  0.6238  0.3069  0.4497
Ho  0.1064  0.9237  0.5500
Ho  0.9237  0.1064  0.0500
Nd  0.6725  0.4223  0.9998
Nd  0.4223  0.6725  0.4998

Values from the calculation:
Polymorph energy (0 for the lowest one) = 0.000 eV per formula unit
Calculated formation energy = 0.063 eV/atom

=====

# 2
## Y2Al2Pt5Au (PBE)

Data for a geometry-optimized Y2Al2Pt5Au structure.

a = 3.7511 Å, b = 9.7620 Å, c = 9.7620 Å
α = 90.00°, β = 90.00°, γ = 90.00°
Fractional positions:
Y  0.0000  0.1791  0.3209
Y  0.0000  0.8209  0.6791
Y  0.0000  0.3209  0.8209
Y  0.0000  0.6791  0.1791
Pt  0.5000  0.7096  0.4360
Pt  0.5000  0.5640  0.7096
Pt  0.5000  0.9360  0.2096
Pt  0.5000  0.2096  0.0640
Pt  0.5000  0.4360  0.2904
Pt  0.5000  0.7904  0.9360
Pt  0.5000  0.0000  0.5000
Pt  0.5000  0.0640  0.7904
Pt  0.5000  0.5000  0.0000
Pt  0.5000  0.2904  0.5640
Al  0.0000  0.3804  0.1196
Al  0.0000  0.1196  0.6196
Al  0.0000  0.6196  0.8804
Al  0.0000  0.8804  0.3804
Au  0.0000  0.0000  0.0000
Au  0.0000  0.5000  0.5000

Values from the calculation:
Calculated formation energy = -0.908 eV/atom

=====

# 3
## KCrSnMo2 (PBE)

Data for a geometry-optimized KCrSnMo2 structure.

a = 4.5854 Å, b = 5.4465 Å, c = 4.5854 Å
α = 90.00°, β = 90.00°, γ = 90.00°
Last column: magnetic moment on the atom in μB.
Fractional positions:
Cr  0.0000  0.0000  0.0000  1.28
K  0.0000  0.5000  0.0000  0.04
Mo  0.0000  0.0000  0.5000  -0.75
Mo  0.5000  0.0000  0.0000  -0.96
Sn  0.5000  0.5000  0.5000  0.07

Values from the calculation:
Calculated formation energy = 1.498 eV/atom

=====

# 4
## Cr2SiOs (PBE)

Data for a geometry-optimized Cr2SiOs structure.

a = 2.9322 Å, b = 2.9322 Å, c = 5.7138 Å
α = 90.00°, β = 90.00°, γ = 90.00°
Fractional positions:
Si  0.5000  0.5000  0.7596
Cr  0.5000  0.5000  0.2188
Cr  0.0000  0.0000  0.0079
Os  0.0000  0.0000  0.5137

Values from the calculation:
Formation energy (no corrections) = -0.71 eV/f.u.

=====

# 5
## Y3HoEr6Sc2 (PBE)

Data for a geometry-optimized Y3HoEr6Sc2 structure.

a = 6.0367 Å, b = 6.0367 Å, c = 11.5419 Å
α = 95.00°, β = 95.00°, γ = 119.94°
Fractional positions:
Er  0.0817  0.4171  0.2433
Er  0.7461  0.7461  0.2433
Er  0.5829  0.9183  0.7567
Er  0.2539  0.2539  0.7567
Er  0.9183  0.5829  0.7567
Er  0.4171  0.0817  0.2433
Y  0.5000  0.5000  0.5000
Y  0.8331  0.1669  0.5000
Y  0.1669  0.8331  0.5000
Ho  0.0000  0.0000  0.0000
Sc  0.3334  0.6666  0.0000
Sc  0.6666  0.3334  0.0000

Values from the calculation:
Calculated formation energy = 0.042 eV/atom

=====

# 6
## Pr2Nd3Mg2 (PBE)

Data for a geometry-optimized Pr2Nd3Mg2 structure.

a = 5.5320 Å, b = 6.5514 Å, c = 6.9192 Å
α = 87.95°, β = 90.00°, γ = 114.97°
Fractional positions:
Mg  0.8792  0.7584  0.5716
Mg  0.1208  0.2416  0.4284
Pr  0.4002  0.8004  0.3127
Pr  0.5998  0.1996  0.6873
Nd  0.0000  0.0000  0.0000
Nd  0.7067  0.4134  0.1686
Nd  0.2933  0.5866  0.8314

Values from the calculation:
Polymorph energy (0 for the lowest one) = 0.000 eV per formula unit
Calculated formation energy = -0.018 eV/atom

=====

# 7
## H2Se4Br3 (PBE)

Data for a geometry-optimized H2Se4Br3 structure.

a = 5.4830 Å, b = 10.5269 Å, c = 10.5269 Å
α = 101.21°, β = 103.63°, γ = 103.63°
Last column: magnetic moment on the atom in μB.
Fractional positions:
Se  0.8470  0.3930  0.9791  0.18
Se  0.6530  0.0209  0.6070  0.18
Se  0.4086  0.6750  0.6769  -0.01
Se  0.3470  0.9791  0.3930  0.18
Se  0.0914  0.3231  0.3250  -0.01
Se  0.9086  0.6769  0.6750  -0.01
Se  0.5914  0.3250  0.3231  -0.01
Se  0.1530  0.6070  0.0209  0.18
Br  0.9269  0.0658  0.2335  0.06
Br  0.7500  0.4056  0.5944  0.00
Br  0.0731  0.9342  0.7665  0.06
Br  0.2500  0.5944  0.4056  0.00
Br  0.5731  0.7665  0.9342  0.06
Br  0.4269  0.2335  0.0658  0.06
H  0.5095  0.8868  0.6284  0.00
H  0.9905  0.3716  0.1132  0.00
H  0.0095  0.6284  0.8868  0.00
H  0.4905  0.1132  0.3716  0.00

Values from the calculation:
Electronic total energy = -2.8269 eV/atom

=====

# 8
## LuMn4Al (PBE)

Data for a geometry-optimized LuMn4Al structure.

a = 4.8711 Å, b = 4.8711 Å, c = 4.8711 Å
α = 60.00°, β = 60.00°, γ = 60.00°
Last column: magnetic moment on the atom in μB.
Fractional positions:
Lu  0.2500  0.2500  0.2500  0.06
Mn  0.6262  0.1215  0.6262  -0.38
Mn  0.1215  0.6262  0.6262  -0.38
Mn  0.6262  0.6262  0.1215  -0.38
Mn  0.6262  0.6262  0.6262  -0.38
Al  0.0000  0.0000  0.0000  0.01

Values from the calculation:
Calculated formation energy = -0.046 eV/atom

=====

Copy entry 7 word for word.
## H2Se4Br3 (PBE)

Data for a geometry-optimized H2Se4Br3 structure.

a = 5.4830 Å, b = 10.5269 Å, c = 10.5269 Å
α = 101.21°, β = 103.63°, γ = 103.63°
Last column: magnetic moment on the atom in μB.
Fractional positions:
Se  0.8470  0.3930  0.9791  0.18
Se  0.6530  0.0209  0.6070  0.18
Se  0.4086  0.6750  0.6769  -0.01
Se  0.3470  0.9791  0.3930  0.18
Se  0.0914  0.3231  0.3250  -0.01
Se  0.9086  0.6769  0.6750  -0.01
Se  0.5914  0.3250  0.3231  -0.01
Se  0.1530  0.6070  0.0209  0.18
Br  0.9269  0.0658  0.2335  0.06
Br  0.7500  0.4056  0.5944  0.00
Br  0.0731  0.9342  0.7665  0.06
Br  0.2500  0.5944  0.4056  0.00
Br  0.5731  0.7665  0.9342  0.06
Br  0.4269  0.2335  0.0658  0.06
H  0.5095  0.8868  0.6284  0.00
H  0.9905  0.3716  0.1132  0.00
H  0.0095  0.6284  0.8868  0.00
H  0.4905  0.1132  0.3716  0.00

Values from the calculation:
Electronic total energy = -2.8269 eV/atom